No. 1
Ho8Te3Se3N | the Alexandria database | PBE | relaxed; crystal system = trigonal; formation energy without anion corrections = -20.21 eV per formula unit; M_tot = 0.00 μB/f.u.; space-group type = R-3m; V = 399.4 Å³ per cell
1.0
8.1374 0.0001 0.0000
-4.0686 7.0474 -0.0262
-0.0001 -4.6722 6.9822
Ho Te Se N
8 3 3 1
Cartesian
0.0000 2.3566 1.9853
4.0687 0.0187 4.9708
4.0687 2.6909 2.1212
0.0000 -0.3156 4.8348
6.3920 -1.3333 2.1363
-2.3233 3.7086 4.8198
1.7453 -1.3334 2.1363
2.3234 3.7087 4.8198
0.0000 0.0000 0.0000
-2.0343 3.5237 -0.0131
2.0344 3.5237 -0.0131
4.0687 -2.3360 3.4911
2.0344 1.1877 3.4780
-2.0343 1.1876 3.4780
0.0000 -2.3361 3.4911


No. 2
Pm8SmTl2 | the Alexandria database | PBE | relaxed; crystal system = monoclinic; energy above the lowest structure with this stoichiometry = 0 meV per atom; M_tot = 0.00 μB/f.u.; formation enthalpy at 0 K = -105 meV/atom; space-group type = C2/m; V = 358.1 Å³ per cell
1.0
-2.8416 -2.9576 -3.2426
5.5247 1.4267 -6.1429
3.5579 -5.6577 6.2577
Pm Sm Tl
8 1 2
Cartesian
1.5770 -2.2507 -3.5443
1.6300 -4.4069 2.5911
1.7569 -1.7897 0.0927
4.2982 0.3112 -4.0506
4.4840 -5.3989 -3.2205
4.6109 -2.7817 -5.7188
4.6640 -4.9379 0.4166
1.9427 -7.4998 0.9229
-1.4208 -1.4788 -1.6213
4.4928 -2.2599 -1.8761
1.7481 -4.9287 -1.2517


No. 3
LaMgGa2Ru | the Alexandria database | PBE | relaxed; crystal system = tetragonal; M_tot = 0.00 μB/f.u.; formation enthalpy at 0 K = -384 meV/atom; space-group type = P4/mmm; V = 112.1 Å³ per cell
1.0
4.7964 0.0000 0.0000
0.0000 4.7964 0.0000
0.0000 0.0000 4.8735
Ru Mg Ga La
1 1 2 1
Cartesian
0.0000 0.0000 0.0000
0.0000 0.0000 2.4368
0.0000 2.3982 0.0000
2.3982 0.0000 0.0000
2.3982 2.3982 2.4368


No. 4
Tm4Si3Ni | the Alexandria database | PBE | relaxed; crystal system = orthorhombic; formation energy without anion corrections = -5.85 eV per formula unit; M_tot = 0.00 μB/f.u.; space-group type = Pmm2; V = 165.1 Å³ per cell
1.0
-0.9906 3.8433 -1.1484
-2.2323 -1.4040 -2.7731
-8.1055 -0.1211 6.5862
Tm Si Ni
4 3 1
Cartesian
-4.4761 1.1769 0.3669
-8.0988 -0.8063 4.2872
-1.1090 -0.0166 0.9011
-5.7086 1.8438 3.6619
-5.7844 -0.7717 2.4066
-3.4697 -0.0518 2.8194
-8.0282 1.8091 5.5467
-2.1931 1.2110 -1.4882


No. 5
MgGe2S | the Alexandria database | PBE | relaxed; crystal system = cubic; formation energy without anion corrections = 1.18 eV per formula unit; energy above the lowest structure with this stoichiometry = 126 meV per atom; M_tot = 0.00 μB/f.u.; space-group type = Fm-3m; V = 77.1 Å³ per cell
1.0
0.0000 3.3780 3.3780
3.3780 0.0000 3.3780
3.3780 3.3780 0.0000
Mg Ge S
1 2 1
Cartesian
0.0000 0.0000 0.0000
1.6890 1.6890 1.6890
5.0670 5.0670 5.0670
3.3780 3.3780 3.3780


No. 6
Rb2HgPS4 | the Alexandria database | PBE | relaxed; crystal system = tetragonal; formation energy without anion corrections = -4.92 eV per formula unit; M_tot = 0.25 μB/f.u.; space-group type = I-4; V = 254.0 Å³ per cell
1.0
6.8947 0.2767 0.4239
-2.6874 6.3554 -0.4239
-2.6874 -2.9457 5.6474
Rb Hg P S
2 1 1 4
Cartesian
0.7599 4.1685 1.3059
0.0000 0.0000 0.0000
0.7599 -0.4821 4.3416
-2.6874 1.7048 2.6118
2.1677 1.6619 2.9493
-1.7735 -0.1191 2.9392
4.7870 2.8580 1.2566
-2.1416 2.9721 4.1497


No. 7
Ac2NdCr2N6 | the Alexandria database | PBE | relaxed; crystal system = trigonal; formation energy without anion corrections = -9.36 eV per formula unit; M_tot = 0.00 μB/f.u.; space-group type = R-3m; V = 181.7 Å³ per cell
1.0
-1.6107 3.9303 3.8661
-5.5790 1.0361 0.8887
-2.5107 -2.8265 6.0937
Ac Nd Cr N
2 1 2 6
Cartesian
-7.2614 2.1533 7.5848
-2.4391 -0.0133 3.2637
0.0000 0.0000 0.0000
-4.8831 -0.2213 6.7232
-4.8174 2.3612 4.1253
-6.0033 2.8350 5.2453
-5.2120 0.9044 3.3461
-3.2627 2.3261 4.8087
-6.4378 -0.1862 6.0398
-4.4884 1.2356 7.5024
-3.6972 -0.6951 5.6033


No. 8
BeAgAuBr2 | the Alexandria database | PBE | relaxed; crystal system = tetragonal; formation energy without anion corrections = 0.66 eV per formula unit; energy above the lowest structure with this stoichiometry = 0 meV per atom; M_tot = 0.00 μB/f.u.; space-group type = P4/mmm; V = 112.3 Å³ per cell
1.0
4.8652 0.0000 0.0000
0.0000 4.7439 0.0000
0.0000 0.0000 4.8652
Be Au Br Ag
1 1 2 1
Cartesian
0.0000 0.0000 0.0000
0.0000 2.3720 0.0000
0.0000 0.0000 2.4326
2.4326 0.0000 0.0000
2.4326 2.3720 2.4326


No. 9
Pr3ZnPb3 | the Alexandria database | PBE | relaxed; crystal system = monoclinic; M_tot = 0.00 μB/f.u.; formation enthalpy at 0 K = -501 meV/atom; space-group type = C2/m; V = 416.2 Å³ per cell
1.0
-4.5415 1.0255 -0.1059
-3.1044 -2.6618 4.9590
0.1575 12.1958 8.9528
Pr Zn Pb
6 2 6
Cartesian
-3.3253 7.1651 7.1974
-4.1631 3.3944 6.6085
-1.9026 2.4788 3.2006
-5.5858 8.0808 10.6054
-2.5351 10.9105 9.5772
-4.9533 -0.3510 4.2288
-3.6941 5.1667 3.6583
-3.7943 5.3929 10.1477
-6.1317 5.4495 8.5386
-1.3566 5.1100 5.2674
-2.9815 9.2163 12.3156
-4.5069 1.3433 1.4904
-6.9023 1.7590 5.8469
-0.5860 8.8006 7.9591


No. 10
TlOsF2 | the Alexandria database | PBE | relaxed; crystal system = tetragonal; formation energy without anion corrections = -0.73 eV per formula unit; energy above the lowest structure with this stoichiometry = 554 meV per atom; M_tot = 2.93 μB/f.u.; space-group type = I-42d; V = 136.8 Å³ per cell
1.0
4.2069 0.0000 0.0000
0.0000 4.2069 0.0000
2.1034 2.1034 7.7293
Tl Os F
2 2 4
Cartesian
0.0000 0.0000 0.0000
4.2069 2.1034 3.8647
2.1034 2.1034 0.0000
2.1034 4.2069 3.8647
2.7324 1.0517 1.9323
1.4745 3.1551 1.9323
3.1551 3.5779 5.7970
5.2586 4.8358 5.7970


No. 11
CaTa2Cd | the Alexandria database | PBE | relaxed; crystal system = tetragonal; M_tot = 0.00 μB/f.u.; formation enthalpy at 0 K = 613 meV/atom; space-group type = P4/mmm; V = 84.5 Å³ per cell
1.0
-0.1329 -2.6862 -1.0191
1.1089 -0.9891 2.4625
-9.4193 -0.9921 3.8432
Ca Cd Ta
1 1 2
Cartesian
-1.8668 -2.0857 1.6825
-6.5765 -2.5817 3.6041
-9.2373 -0.9730 3.7689
-4.8916 -0.5152 1.9958


No. 12
Rb2GeTe4As | the Alexandria database | PBE | relaxed; crystal system = orthorhombic; formation energy without anion corrections = -3.51 eV per formula unit; M_tot = 0.00 μB/f.u.; space-group type = Fddd; V = 647.3 Å³ per cell
1.0
-4.1018 -1.4944 -5.1744
-7.8185 -1.9713 2.3384
-5.3274 11.2271 -3.4480
Rb Ge Te As
4 2 8 2
Cartesian
-4.1044 6.7575 -3.1267
-5.3248 2.9753 -5.4957
-10.8724 7.9768 -4.7569
-8.4263 -0.9625 -4.1143
-7.5984 4.2543 -1.8484
-2.0509 -0.7472 -2.5872
-8.0869 -0.5550 -0.0209
-7.0624 9.0809 -3.6159
-14.6720 6.8349 -5.8952
-4.6742 0.1621 -3.0360
-9.3810 2.0908 -2.0763
-7.9144 5.6533 -4.2677
-12.2251 4.4338 -4.8244
-4.9751 3.3450 -1.3996
-9.6493 3.5071 -4.4356
0.0000 0.0000 0.0000


- Which formula does entry 3 have?
  LaMgGa2Ru